# SmLuRhPb

A geometry-optimized SmLuRhPb structure (PBE, Alexandria via LeMat-Bulk).

- V: 24.2 A^3/atom
- Calculated formation energy: -0.489 eV/atom
- Electronic total energy: -5.564 eV per atom

CIF file:
```
data_SmLuRhPb
_cell_length_a 7.288
_cell_length_b 7.288
_cell_length_c 7.288
_cell_angle_alpha 90.00
_cell_angle_beta 90.00
_cell_angle_gamma 90.00
_symmetry_space_group_name_H-M 'F -4 3 m'
_symmetry_Int_Tables_number 216
_symmetry_space_group_name_Hall 'F -4 2 3'
loop_
_atom_site_label
_atom_site_type_symbol
_atom_site_fract_x
_atom_site_fract_y
_atom_site_fract_z
Sm1 Sm 0.000 0.000 0.000
Lu1 Lu 0.000 0.000 0.500
Rh1 Rh 0.250 0.250 0.750
Pb1 Pb 0.250 0.250 0.250
```